No. 1
Ce3Nd4HoTe8 | PBE | relaxed

```
16
Lattice="8.9405 0.0000 0.0000 0.0000 8.9617 0.0093 -4.4703 -4.4658 6.3246" Properties=species:S:1:pos:R:3 pbc="T T T"
Te -2.2739 2.2103 6.3269
Ce -2.2351 2.2479 3.1669
Ce 2.2351 2.2480 3.1669
Te -0.0002 4.4819 3.1099
Te 4.4704 0.0141 3.2240
Ce 4.4703 4.4809 0.0046
Te 6.7442 2.2856 0.0070
Ho 0.0000 4.4808 0.0046
Te 4.4704 4.4836 3.1660
Nd 4.4702 0.0000 0.0000
Te -0.0002 0.0123 3.1679
Te 2.2739 2.2104 6.3272
Nd 0.0000 0.0000 0.0000
Te 2.1963 2.2856 0.0067
Nd 2.2351 -2.2329 3.1623
Nd -2.2351 -2.2329 3.1623
```

## Properties
Symmetry = R-3m, No. 166
Formation energy from raw total energies = -1.3840 eV per atom

=====

No. 2
Ce3NdHo2Te6 | PBE | relaxed

```
12
Lattice="-4.0501 -6.4115 1.0006 6.9637 -0.3201 -3.1491 1.9975 1.4084 7.3690" Properties=species:S:1:pos:R:3 pbc="T T T"
Te 2.6193 -4.6228 0.1660
Ce -1.2787 -4.7269 4.0172
Te 3.1043 -0.3154 0.5423
Ce 6.1897 -0.5963 1.2033
Te 2.2918 -0.7004 5.0544
Te 5.5717 -2.9255 3.2596
Ce 2.4555 -2.6616 2.6102
Nd 0.0000 0.0000 0.0000
Te -0.6607 -2.3977 1.9609
Ho 3.3059 -2.3431 -1.7709
Ho -0.3923 -4.3885 -0.3776
Te 1.8068 -5.0079 4.6782
```

## Properties
Symmetry = C2/m, No. 12
Formation energy from raw total energies = -1.3468 eV per atom

=====

No. 3
CeNd4Ho3Te8 | PBE | relaxed

```
16
Lattice="-8.5924 1.4592 1.3760 -1.9816 -4.8585 -7.2217 4.9569 -3.5182 6.3957" Properties=species:S:1:pos:R:3 pbc="T T T"
Te 1.3016 -6.7162 1.3349
Ce -0.9908 -2.4293 -3.6109
Nd -1.8177 -1.0295 3.8858
Te -4.4803 -1.9320 2.3606
Te -2.6920 -0.9191 -1.4619
Ho 1.4877 -4.1884 -0.4130
Nd 2.4785 -1.7591 3.1978
Te -1.1367 -4.9855 -1.8107
Te -0.1867 -2.7037 1.7015
Ho -2.8085 -3.4588 0.2749
Ho -5.2870 -1.6997 -2.9229
Nd 0.0000 0.0000 0.0000
Te -6.9186 -0.2013 -0.7850
Te -2.9250 -5.9984 2.0117
Te -5.4303 -4.2138 -1.1516
Nd -4.2962 0.7296 0.6880
```

## Properties
Symmetry = R-3m, No. 166
Formation energy from raw total energies = -1.3513 eV per atom

=====

No. 4
Ce2Nd3Ho6Th | PBE | relaxed

```
12
Lattice="6.1749 -0.0009 0.0019 -3.0867 5.3480 0.0019 -1.0350 -1.7921 11.5223" Properties=species:S:1:pos:R:3 pbc="T T T"
Nd 1.0266 1.7775 5.7630
Ho 2.0495 -0.0005 2.8088
Ho 3.0779 1.7801 8.7172
Ce 3.0881 1.7819 0.0019
Ho 2.0629 3.5720 2.8103
Ho 0.0037 3.5556 8.7172
Nd 4.1129 -0.0050 5.7630
Ho -1.0247 1.7750 2.8088
Th 0.0000 0.0000 0.0000
Ce 0.0001 3.5653 0.0019
Nd -2.0598 3.5600 5.7630
Ho -0.0098 -0.0169 8.7157
```

## Properties
E_form = 0.038 eV/atom
Symmetry = C2/m, No. 12

=====

No. 5
CeNdHo2Tl4 | PBE | relaxed

```
8
Lattice="5.4343 0.0000 0.0000 2.7172 4.7063 0.0000 2.7172 1.5688 8.8954" Properties=species:S:1:pos:R:3 pbc="T T T"
Ce 5.4343 3.1375 4.4477
Ho 2.7172 1.5688 2.2215
Tl 5.4344 3.1375 1.1165
Nd 0.0000 0.0000 0.0000
Tl 8.1515 4.7063 3.3365
Tl 2.7172 1.5688 5.5589
Tl 5.4343 3.1375 7.7788
Ho 8.1515 4.7063 6.6739
```

## Properties
E_form = -0.314 eV/atom
Symmetry = R-3m, No. 166

=====

No. 6
CeNdHoTl | PBE | relaxed

```
4
Lattice="5.4664 0.0000 0.0000 2.7332 4.7341 0.0000 2.7332 1.5780 4.4633" Properties=species:S:1:pos:R:3 pbc="T T T"
Ho 0.0000 0.0000 0.0000
Tl 8.1996 4.7341 3.3475
Ce 2.7332 1.5780 1.1158
Nd 5.4664 3.1560 2.2317
```

## Properties
E_form = 0.013 eV/atom
Symmetry = F-43m, No. 216

=====

No. 7
CeNdHo2Tm4 | PBE | relaxed

```
8
Lattice="-3.3579 0.1473 3.7266 1.8022 -4.3153 1.7945 8.2176 0.6881 7.3774" Properties=species:S:1:pos:R:3 pbc="T T T"
Nd -0.7778 -2.0840 2.7605
Tm -0.8319 -0.7446 6.0379
Tm 7.4938 -2.7353 6.8606
Ho 8.2175 0.6881 7.3774
Ho 2.4298 0.4177 5.5520
Tm 1.7496 -2.9726 5.0731
Tm 4.9123 -0.5072 7.8254
Ce 5.0099 -1.8135 4.5860
```

## Properties
E_form = 0.049 eV/atom
Symmetry = P4/mmm, No. 123

=====

No. 8
CeNdHo5Tm2 | PBE | relaxed

```
18
Lattice="5.6638 0.0000 0.0000 -2.8319 10.6762 0.0000 0.0000 0.0000 9.5479" Properties=species:S:1:pos:R:3 pbc="T T T"
Ho 0.0000 6.5458 6.8404
Ce 0.0000 4.1657 0.2271
Ho 2.8319 10.4109 4.9293
Ho 2.8319 2.2731 5.1520
Ho 0.0000 10.0555 7.1169
Ho 0.0000 0.2653 0.1553
Tm 0.0000 2.4142 3.0778
Tm 2.8319 8.2620 7.8517
Nd 2.8319 2.0627 8.8059
Ce 2.8319 6.5105 5.0011
Ho 0.0000 8.4032 0.3780
Tm 0.0000 2.9336 6.7215
Ho 0.0000 5.6846 3.1879
Nd 0.0000 8.6136 4.0319
Ho 2.8319 0.6207 2.3430
Tm 2.8319 7.7426 1.9475
Ho 2.8319 4.1304 2.0665
Ho 2.8319 4.9916 7.9619
```

## Properties
E_form = 0.178 eV/atom
Symmetry = Cmc2_1, No. 36

=====

No. 9
CeNdHo4Tm2 | PBE | relaxed

```
8
Lattice="-4.6073 1.1587 -1.6210 0.8897 -2.4442 -4.2755 -2.6443 -10.8267 -0.2221" Properties=species:S:1:pos:R:3 pbc="T T T"
Tm -3.6258 -4.8340 -0.9215
Ho -4.0518 -8.1221 -2.0606
Tm -2.6443 -10.8267 -0.2221
Ce -0.8773 -6.6355 -2.2488
Nd -1.8588 -0.6427 -2.9482
Ho -5.9127 -8.7692 -5.0060
Ho -2.3100 -3.9900 -4.0580
Ho -0.4491 -3.3429 -1.1126
```

## Properties
E_form = 0.050 eV/atom
Symmetry = Pmmm, No. 47

=====

No. 10
CeNdHoTm3 | PBE | relaxed

```
12
Lattice="-2.2681 0.9267 -4.3737 0.1009 -7.7839 1.1766 -8.8147 0.5957 4.6974" Properties=species:S:1:pos:R:3 pbc="T T T"
Ce -3.2369 -7.1712 0.1639
Tm -6.9575 -2.0078 3.1842
Ho -2.5510 -2.3124 0.8347
Tm -1.4789 -1.9752 -2.5228
Nd 0.0000 0.0000 0.0000
Tm -9.5029 -4.2863 4.0231
Tm -4.0244 -4.2537 -1.6839
Ce -7.7450 0.9098 1.3363
Tm -5.8847 -1.6774 -0.1749
Ho -8.4308 -3.9490 0.6656
Nd -4.4073 0.2979 2.3487
Tm -5.0972 -4.5840 1.6752
```

## Properties
E_form = 0.060 eV/atom
Symmetry = Cmcm, No. 63

=====

No. 11
Ce2NdHo6Tm3 | PBE | relaxed

```
12
Lattice="-5.1188 -2.6641 -1.9949 3.6937 -2.9791 3.8420 -5.2886 6.2658 8.3229" Properties=species:S:1:pos:R:3 pbc="T T T"
Tm -6.2971 0.4164 3.1376
Ho -0.2110 0.0989 3.5441
Tm -0.4167 0.2062 7.0324
Ho -2.3981 -2.6467 3.4778
Ho -4.3156 3.2692 6.6922
Ce 0.7571 -2.8741 1.8970
Nd 0.0000 0.0000 0.0000
Ce -2.1822 -2.7691 -0.0498
Ho -3.5403 0.4178 8.5880
Ho -6.5027 0.5237 6.6259
Ho -3.1734 0.2047 1.5821
Tm -3.3569 0.3113 5.0850
```

## Properties
E_form = 0.053 eV/atom
Symmetry = C2/m, No. 12

=====

No. 12
CeNd2HoTm | PBE | relaxed

```
10
Lattice="8.1504 0.0000 0.0000 0.0000 6.6098 1.1738 0.0000 -1.0730 5.9971" Properties=species:S:1:pos:R:3 pbc="T T T"
Nd 2.5301 1.4825 1.8135
Nd 5.6202 0.9460 4.8120
Tm 1.0039 2.5001 5.0847
Nd 5.6202 4.0543 5.3574
Nd 2.5301 4.5908 2.3589
Ce 0.0000 0.0000 0.0000
Ce 0.0000 -0.5365 2.9985
Tm 7.1464 3.0366 2.0862
Ho 2.8872 -0.8047 4.4978
Ho 5.2632 -0.2682 1.4993
```

## Properties
E_form = 0.282 eV/atom
Symmetry = P2/c, No. 13

=====

No. 13
CeNd2Ho4Tm | PBE | relaxed

```
16
Lattice="-3.6279 2.1132 -8.4564 8.5991 1.4878 -3.6027 -3.4131 -8.3331 7.5244" Properties=species:S:1:pos:R:3 pbc="T T T"
Ho 0.2351 -5.5947 -1.5918
Nd -3.5205 -3.1099 -0.4660
Nd -1.7065 -4.1665 3.7622
Ce -1.0349 -1.3094 -6.4956
Ho 1.3230 0.8625 -2.9429
Nd 2.4855 1.8005 -6.0296
Nd -1.8139 1.0566 -4.2282
Ho -0.6203 1.9197 -7.3074
Ho -0.3534 -3.2383 0.7512
Tm -7.0410 -6.2198 -0.9320
Ho 2.1783 -6.6518 2.7725
Tm 0.7791 -2.3661 -2.2673
Ho -2.2016 -2.2535 -3.4951
Ce 4.2995 0.7439 -1.8013
Ho 3.7596 -2.4786 -1.0395
Ho 1.9115 -1.4937 -5.2859
```

## Properties
E_form = 0.424 eV/atom
Symmetry = Imma, No. 74

=====

No. 14
Ce2Nd3Ho6Tm | PBE | relaxed

```
12
Lattice="-4.1064 2.8667 -3.6000 3.6896 -4.3327 -2.3780 -7.7238 -7.5968 4.5199" Properties=species:S:1:pos:R:3 pbc="T T T"
Ho -2.2072 -2.9596 -3.3551
Ho -4.8358 -8.0401 -0.8696
Tm 0.0000 0.0000 0.0000
Ce 1.0882 -1.9304 -2.7858
Ce -1.5050 0.4644 -3.1922
Ho -5.9334 -6.1032 1.8970
Nd -6.6743 -2.1268 -1.1372
Ho -0.6920 -3.4356 -0.1790
Ho -3.3048 -1.0227 -0.5885
Nd -1.4664 -6.9360 -0.3209
Ho -7.4487 -5.6272 -1.2791
Nd -4.0703 -4.5314 -0.7290
```

## Properties
E_form = 0.044 eV/atom
Symmetry = C2/m, No. 12

=====

No. 15
CeNd2Ho2Tm2 | PBE | relaxed

```
7
Lattice="-2.8909 0.1406 1.9266 -1.9899 -6.5594 -5.6446 4.4502 -2.1296 6.8332" Properties=species:S:1:pos:R:3 pbc="T T T"
Nd 2.0682 -2.7394 6.4408
Tm -2.5008 -4.0866 -0.3169
Nd -2.4988 -5.8090 -3.3256
Ho -0.7104 -2.6970 2.2683
Tm 2.0702 -4.4617 3.4322
Ce 2.2251 -1.0648 3.4166
Ho 0.2798 -5.8513 0.8469
```

## Properties
E_form = 0.142 eV/atom
Symmetry = C2/m, No. 12

=====

No. 16
CeNd6Ho2Tm | PBE | relaxed

```
10
Lattice="8.7414 0.0000 1.2461 0.0000 7.0872 0.0000 -2.0895 -3.5436 5.2442" Properties=species:S:1:pos:R:3 pbc="T T T"
Nd 6.2430 1.6489 2.7894
Nd 6.2430 5.4383 2.7894
Ho 1.0612 0.0000 1.1686
Nd 0.4089 1.8947 3.7009
Nd 3.5213 0.0000 4.6426
Ho 5.5907 3.5436 5.3217
Ce 0.0000 3.5436 0.0000
Nd 3.1306 3.5436 1.8478
Nd 0.4089 -1.8947 3.7009
Tm 4.3707 0.0000 0.6231
```

## Properties
E_form = 0.237 eV/atom
Symmetry = C2/m, No. 12

=====

No. 17
Ce2Nd3HoTm6 | PBE | relaxed

```
12
Lattice="6.1434 0.0005 0.0067 -3.0698 5.3215 0.0067 -1.0358 -1.7935 11.4657" Properties=species:S:1:pos:R:3 pbc="T T T"
Tm -0.0032 -0.0056 8.6502
Ce 3.0694 1.7759 0.0067
Tm -0.0201 3.5311 8.6580
Nd 4.0973 -0.0136 5.7396
Ho 0.0000 0.0000 0.0000
Tm -1.0308 1.7812 2.8212
Nd -2.0594 3.5421 5.7396
Nd 1.0189 1.7642 5.7396
Tm 2.0580 -0.0026 2.8212
Tm 3.0686 1.7473 8.6580
Ce 0.0042 3.5461 0.0067
Tm 2.0411 3.5341 2.8290
```

## Properties
E_form = 0.045 eV/atom
Symmetry = C2/m, No. 12

=====

No. 18
Ce2NdHo3Tm6 | PBE | relaxed

```
12
Lattice="-5.2772 -0.4813 2.9994 4.7967 -3.3288 1.7284 3.4208 9.6443 5.5062" Properties=species:S:1:pos:R:3 pbc="T T T"
Nd 0.0000 0.0000 0.0000
Tm -0.9554 1.9363 2.7853
Tm 0.4978 -0.4331 4.9161
Tm 2.4286 0.9797 2.3584
Ce 1.4398 -2.3799 2.1520
Ho 4.8331 1.9665 4.6927
Tm 2.4425 6.2674 5.3179
Tm 0.5117 4.8545 7.8756
Ho -1.8928 3.8677 5.5413
Ce -1.9203 -1.4302 2.5759
Ho 1.4702 2.9171 5.1170
Tm 3.8958 3.8980 7.4487
```

## Properties
E_form = 0.051 eV/atom
Symmetry = C2/m, No. 12

=====

No. 19
CeNd2Y6Ho3 | PBE | relaxed

```
12
Lattice="-2.2943 -5.7615 0.2236 4.5847 1.6639 3.8367 -8.6154 4.7984 6.5417" Properties=species:S:1:pos:R:3 pbc="T T T"
Y -0.4529 -1.8731 4.7118
Y -2.7414 -1.0406 2.0670
Nd -0.0001 -3.2851 1.4286
Ho -0.8724 2.8224 6.5039
Y -5.8605 -0.7163 7.3392
Ho -3.1625 0.3504 5.3010
Nd 2.2905 -0.8125 2.6317
Ho -5.4526 -2.1216 4.0982
Y -5.8721 2.5739 5.8903
Y -0.4645 1.4171 3.2629
Ce 0.0000 0.0000 0.0000
Y -3.5836 1.7414 8.5350
```

## Properties
E_form = 0.041 eV/atom
Symmetry = C2/m, No. 12

=====

No. 20
CeNd3Y2Ho6 | PBE | relaxed

```
12
Lattice="-5.2984 -2.9453 -1.2965 4.3537 0.6133 -4.3701 5.0862 -9.2790 5.2289" Properties=species:S:1:pos:R:3 pbc="T T T"
Ho -0.5715 -3.4599 0.3961
Nd 5.2787 -4.6228 -1.2404
Y -2.0813 -1.7592 -2.3209
Y 1.1366 -0.5728 -3.3456
Ho 0.5482 -4.0495 -2.9670
Ce 0.0000 0.0000 0.0000
Ho 1.5235 -9.3271 0.1819
Ho 4.7130 -8.1512 -0.8337
Nd -1.1372 -6.9883 0.8027
Ho 2.6180 -2.2840 -0.6196
Nd 2.0708 -5.8055 -0.2188
Ho 3.5933 -7.5616 2.5294
```

## Properties
E_form = 0.036 eV/atom
Symmetry = C2/m, No. 12

=====

No. 21
CeNd2Y5Ho | PBE | relaxed

```
18
Lattice="8.6138 0.0000 0.0000 0.0000 8.6138 0.0000 -4.3069 -4.3069 7.8833" Properties=species:S:1:pos:R:3 pbc="T T T"
Ce 0.0000 4.3069 3.9417
Y 6.8615 2.5546 2.2213
Y -1.7523 -2.5546 5.6620
Y 1.7523 2.5546 5.6620
Y 2.5546 1.7523 2.2213
Nd 1.0379 3.2690 0.0000
Ce 4.3069 0.0000 3.9417
Y 4.3069 4.3069 0.0000
Nd 5.3448 1.0379 0.0000
Nd 3.2690 7.5758 0.0000
Y 2.5546 -1.7523 5.6620
Y 0.0000 0.0000 0.0000
Nd 7.5758 5.3448 0.0000
Ho 0.0000 0.0000 3.9417
Ho 4.3069 4.3069 3.9417
Y 6.0592 6.8615 2.2213
Y -2.5546 1.7523 5.6620
Y 1.7523 6.0592 2.2213
```

## Properties
E_form = 0.260 eV/atom
Symmetry = I4/mcm, No. 140